The following is a GGA-PBEsol calculation of a geometry-optimized Ba5Sm8Mn4O21 structure, from Alexandria via LeMat-Bulk. Values from VASP.

Its total energy is -8.0893 eV/atom. For the formation energy (no corrections), the calculation gives -2.81 eV/atom. The crystal system is tetragonal.

The structure in Quantum ESPRESSO input format:
```
&SYSTEM
  ibrav = 0, nat = 38, ntyp = 4
/
ATOMIC_SPECIES
Ba 137.33 Ba.upf
Sm 150.36 Sm.upf
Mn 54.94 Mn.upf
O 16.00 O.upf
ATOMIC_POSITIONS crystal
Ba 0.0000 0.0000 0.0000
Ba 0.1382 0.4666 0.6048
Ba 0.4666 0.8618 0.3284
Ba 0.5334 0.1382 0.6716
Ba 0.8618 0.5334 0.3952
Sm 0.1685 0.7545 0.9229
Sm 0.2455 0.1685 0.4140
Sm 0.3561 0.5885 0.9445
Sm 0.4115 0.3561 0.7676
Sm 0.5885 0.6439 0.2324
Sm 0.6439 0.4115 0.0555
Sm 0.7545 0.8315 0.5860
Sm 0.8315 0.2455 0.0771
Mn 0.0400 0.2515 0.2915
Mn 0.2515 0.9600 0.2115
Mn 0.7485 0.0400 0.7885
Mn 0.9600 0.7485 0.7085
O 0.0149 0.6068 0.1141
O 0.0331 0.6266 0.6597
O 0.0700 0.2024 0.7739
O 0.0993 0.9851 0.5919
O 0.2024 0.4284 0.1323
O 0.2961 0.0700 0.8677
O 0.3734 0.0331 0.4065
O 0.3932 0.5073 0.4081
O 0.4284 0.2961 0.2261
O 0.4927 0.9007 0.8859
O 0.5000 0.5000 0.0000
O 0.5073 0.0993 0.1141
O 0.5716 0.7039 0.7739
O 0.6068 0.4927 0.5919
O 0.6266 0.9669 0.5935
O 0.7039 0.9300 0.1323
O 0.7976 0.5716 0.8677
O 0.9007 0.0149 0.4081
O 0.9300 0.7976 0.2261
O 0.9669 0.3734 0.3403
O 0.9851 0.3932 0.8859
CELL_PARAMETERS angstrom
-6.9918 6.9918 2.8980
6.9918 -6.9918 2.8980
6.9918 6.9918 -2.8980
```

The following is a GGA-PBEsol calculation of a geometry-optimized CdHgBi2Mo structure, from Alexandria via LeMat-Bulk. Values from VASP.

Its total energy is -3.0881 eV/atom. The crystal system is tetragonal.

The structure in Quantum ESPRESSO input format:
```
&SYSTEM
  ibrav = 0, nat = 5, ntyp = 4
/
ATOMIC_SPECIES
Cd 112.41 Cd.upf
Hg 200.59 Hg.upf
Bi 208.98 Bi.upf
Mo 95.94 Mo.upf
ATOMIC_POSITIONS crystal
Cd 0.0000 0.0000 0.0000
Hg 0.5000 0.5000 0.5000
Bi 0.0000 0.5000 0.0000
Bi 0.5000 0.0000 0.0000
Mo 0.0000 0.0000 0.5000
CELL_PARAMETERS angstrom
5.4750 0.0000 0.0000
0.0000 5.4750 0.0000
0.0000 0.0000 5.3205
```

The following is a GGA-PBEsol calculation of a geometry-optimized Mg3MnNi2 structure, from Alexandria via LeMat-Bulk. Values from VASP.

Its total energy is -4.6466 eV/atom. The crystal system is cubic.

The structure in Quantum ESPRESSO input format:
```
&SYSTEM
  ibrav = 0, nat = 24, ntyp = 3
/
ATOMIC_SPECIES
Mg 24.30 Mg.upf
Mn 54.94 Mn.upf
Ni 58.69 Ni.upf
ATOMIC_POSITIONS crystal
Mg 0.0736 0.0736 0.6764
Mg 0.0736 0.6764 0.0736
Mg 0.0736 0.6764 0.6764
Mg 0.3236 0.3236 0.9264
Mg 0.3236 0.9264 0.3236
Mg 0.3236 0.9264 0.9264
Mg 0.6764 0.0736 0.0736
Mg 0.6764 0.0736 0.6764
Mg 0.6764 0.6764 0.0736
Mg 0.9264 0.3236 0.3236
Mg 0.9264 0.3236 0.9264
Mg 0.9264 0.9264 0.3236
Mn 0.0000 0.5000 0.5000
Mn 0.5000 0.0000 0.5000
Mn 0.5000 0.5000 0.0000
Mn 0.5000 0.5000 0.5000
Ni 0.2955 0.2955 0.2955
Ni 0.2955 0.2955 0.6134
Ni 0.2955 0.6134 0.2955
Ni 0.3866 0.7045 0.7045
Ni 0.6134 0.2955 0.2955
Ni 0.7045 0.3866 0.7045
Ni 0.7045 0.7045 0.3866
Ni 0.7045 0.7045 0.7045
CELL_PARAMETERS angstrom
0.0000 5.6528 5.6528
5.6528 0.0000 5.6528
5.6528 5.6528 0.0000
```

The following is a GGA-PBEsol calculation of a geometry-optimized BaLa4TiCr4O15 structure, from Alexandria via LeMat-Bulk. Values from VASP.

Its total energy is -8.8894 eV/atom. For the formation energy (no corrections), the calculation gives -2.83 eV/atom. The crystal system is orthorhombic.

The structure in Quantum ESPRESSO input format:
```
&SYSTEM
  ibrav = 0, nat = 25, ntyp = 5
/
ATOMIC_SPECIES
Ba 137.33 Ba.upf
La 138.91 La.upf
Ti 47.87 Ti.upf
Cr 52.00 Cr.upf
O 16.00 O.upf
ATOMIC_POSITIONS crystal
Ba 0.0000 0.0000 0.0000
La 0.1995 0.8005 0.0000
La 0.3961 0.6039 0.0000
La 0.6039 0.3961 0.0000
La 0.8005 0.1995 0.0000
Ti 0.5000 0.5000 0.5000
Cr 0.1003 0.8997 0.5000
Cr 0.2994 0.7006 0.5000
Cr 0.7006 0.2994 0.5000
Cr 0.8997 0.1003 0.5000
O 0.0000 0.5000 0.5000
O 0.0994 0.4012 0.5000
O 0.1069 0.8931 0.0000
O 0.2075 0.3133 0.5000
O 0.3011 0.6989 0.0000
O 0.3133 0.2075 0.5000
O 0.4012 0.0994 0.5000
O 0.5000 0.0000 0.5000
O 0.5000 0.5000 0.0000
O 0.5988 0.9006 0.5000
O 0.6867 0.7925 0.5000
O 0.6989 0.3011 0.0000
O 0.7925 0.6867 0.5000
O 0.8931 0.1069 0.0000
O 0.9006 0.5988 0.5000
CELL_PARAMETERS angstrom
2.7456 -13.6539 0.0000
2.7456 13.6539 0.0000
0.0000 0.0000 3.8725
```

The following is a GGA-PBEsol calculation of a geometry-optimized CsReGe2N structure, from Alexandria via LeMat-Bulk. Values from VASP.

Its total energy is -5.5821 eV/atom. For the formation energy (no corrections), the calculation gives 0.95 eV/atom. The crystal system is tetragonal.

The structure in Quantum ESPRESSO input format:
```
&SYSTEM
  ibrav = 0, nat = 5, ntyp = 4
/
ATOMIC_SPECIES
Cs 132.91 Cs.upf
Re 186.21 Re.upf
Ge 72.64 Ge.upf
N 14.01 N.upf
ATOMIC_POSITIONS crystal
Cs 0.0000 0.0000 0.0000
Re 0.5000 0.5000 0.0000
Ge 0.0000 0.5000 0.5000
Ge 0.5000 0.0000 0.5000
N 0.5000 0.5000 0.5000
CELL_PARAMETERS angstrom
5.1872 0.0000 0.0000
0.0000 5.1872 0.0000
0.0000 0.0000 3.8278
```

The following is a GGA-PBEsol calculation of a geometry-optimized K3La structure, from Alexandria via LeMat-Bulk. Values from VASP.

Its total energy is -1.7797 eV/atom. The crystal system is orthorhombic.

The structure in Quantum ESPRESSO input format:
```
&SYSTEM
  ibrav = 0, nat = 4, ntyp = 2
/
ATOMIC_SPECIES
K 39.10 K.upf
La 138.91 La.upf
ATOMIC_POSITIONS crystal
K 0.0000 0.0000 0.0000
K 0.0000 0.5000 0.2854
K 0.5000 0.0000 0.5270
La 0.5000 0.5000 0.7862
CELL_PARAMETERS angstrom
3.6917 0.0000 0.0000
0.0000 7.1772 0.0000
0.0000 0.0000 8.0572
```

The following is a GGA-PBEsol calculation of a geometry-optimized MnBe2Ag structure, from Alexandria via LeMat-Bulk. Values from VASP.

Its total energy is -4.9397 eV/atom. The calculation puts the offset from the most stable computed form at 0.66 eV/f.u. The crystal system is cubic.

The structure in Quantum ESPRESSO input format:
```
&SYSTEM
  ibrav = 0, nat = 4, ntyp = 3
/
ATOMIC_SPECIES
Mn 54.94 Mn.upf
Be 9.01 Be.upf
Ag 107.87 Ag.upf
ATOMIC_POSITIONS crystal
Mn 0.0000 0.0000 0.0000
Be 0.2500 0.2500 0.2500
Be 0.5000 0.5000 0.5000
Ag 0.7500 0.7500 0.7500
CELL_PARAMETERS angstrom
0.0000 2.8790 2.8790
2.8790 0.0000 2.8790
2.8790 2.8790 0.0000
```

The following is a GGA-PBEsol calculation of a geometry-optimized CsKCdS2 structure, from Alexandria via LeMat-Bulk. Values from VASP.

Its total energy is -2.6941 eV/atom. For the formation energy (no corrections), the calculation gives -0.29 eV/atom. The crystal system is tetragonal.

The structure in Quantum ESPRESSO input format:
```
&SYSTEM
  ibrav = 0, nat = 5, ntyp = 4
/
ATOMIC_SPECIES
Cs 132.91 Cs.upf
K 39.10 K.upf
Cd 112.41 Cd.upf
S 32.06 S.upf
ATOMIC_POSITIONS crystal
Cs 0.0000 0.0000 0.0000
K 0.5000 0.5000 0.0000
Cd 0.0000 0.0000 0.5000
S 0.0000 0.5000 0.5000
S 0.5000 0.0000 0.5000
CELL_PARAMETERS angstrom
5.2712 0.0000 0.0000
0.0000 5.2712 0.0000
0.0000 0.0000 5.7290
```

The following is a GGA-PBEsol calculation of a geometry-optimized Sc2Ni structure, from Alexandria via LeMat-Bulk. Values from VASP.

Its total energy is -6.7547 eV/atom. The crystal system is orthorhombic.

The structure in Quantum ESPRESSO input format:
```
&SYSTEM
  ibrav = 0, nat = 6, ntyp = 2
/
ATOMIC_SPECIES
Sc 44.96 Sc.upf
Ni 58.69 Ni.upf
ATOMIC_POSITIONS crystal
Sc 0.0250 0.9750 0.5000
Sc 0.2889 0.7111 0.3283
Sc 0.7111 0.2889 0.8283
Sc 0.9750 0.0250 0.0000
Ni 0.3819 0.6181 0.7225
Ni 0.6181 0.3819 0.2225
CELL_PARAMETERS angstrom
1.6344 -5.6306 0.0000
1.6344 5.6306 0.0000
0.0000 0.0000 6.0963
```

The following is a GGA-PBEsol calculation of a geometry-optimized Mn2AlSb structure, from Alexandria via LeMat-Bulk. Values from VASP.

Its total energy is -6.8928 eV/atom. For the formation energy (no corrections), the calculation gives 0.15 eV/atom. The crystal system is tetragonal.

The structure in Quantum ESPRESSO input format:
```
&SYSTEM
  ibrav = 0, nat = 4, ntyp = 3
/
ATOMIC_SPECIES
Mn 54.94 Mn.upf
Al 26.98 Al.upf
Sb 121.76 Sb.upf
ATOMIC_POSITIONS crystal
Mn 0.0000 0.0000 0.0000
Mn 0.5000 0.5000 0.1690
Al 0.5000 0.5000 0.8014
Sb 0.0000 0.0000 0.4114
CELL_PARAMETERS angstrom
2.8553 0.0000 0.0000
0.0000 2.8553 0.0000
0.0000 0.0000 7.5387
```

What did the sixth record say?
The following is a GGA-PBEsol calculation of a geometry-optimized K3La structure, from Alexandria via LeMat-Bulk. Values from VASP.

Its total energy is -1.7797 eV/atom. The crystal system is orthorhombic.

The structure in Quantum ESPRESSO input format:
```
&SYSTEM
  ibrav = 0, nat = 4, ntyp = 2
/
ATOMIC_SPECIES
K 39.10 K.upf
La 138.91 La.upf
ATOMIC_POSITIONS crystal
K 0.0000 0.0000 0.0000
K 0.0000 0.5000 0.2854
K 0.5000 0.0000 0.5270
La 0.5000 0.5000 0.7862
CELL_PARAMETERS angstrom
3.6917 0.0000 0.0000
0.0000 7.1772 0.0000
0.0000 0.0000 8.0572
```